Material: HfBTeO2
Method: DFT, GGA-PBE
State: optimized geometry

Lattice parameters (Å, degrees): 4.0015 4.5240 4.0015 90.00 90.00 90.00
Positions (direct):
1 Te 0.0000 0.0000 0.0000
2 Hf 0.5000 0.5000 0.5000
3 O 0.5000 0.0000 0.0000
4 O 0.0000 0.0000 0.5000
5 B 0.0000 0.5000 0.0000

Calculated values
DFT total energy = -5.8375 eV per atom
raw formation energy = 0.5 eV/f.u.
total magnetization = 0.000 μB/f.u.
energy relative to the lowest polymorph listed for this composition = 920 meV per atom
space group = No. 123